[1]
! Ac2CuSe PBE-GGA relaxed; values from VASP
! **ρ**: 7.8 Mg/m³
! **N(E_F)**: 9.87 states/eV/cell
! **V**: 382 Å³ per cell
! **Polymorph energy (0 for the lowest one)**: 115 meV/atom
! **Energy relative to the elements, uncorrected**: -844 meV per atom
! **Total energy**: -4.793 eV/atom
&SYSTEM
  ibrav = 0, nat = 12, ntyp = 3
/
ATOMIC_SPECIES
Ac 227.00 Ac.upf
Cu 63.55 Cu.upf
Se 78.96 Se.upf
CELL_PARAMETERS angstrom
4.250 0.000 0.000
-2.125 3.680 0.000
0.000 0.000 24.418
ATOMIC_POSITIONS crystal
Ac 0.000 0.000 0.000
Ac 0.000 0.000 0.166
Ac 0.333 0.667 0.667
Ac 0.333 0.667 0.833
Ac 0.667 0.333 0.333
Ac 0.667 0.333 0.499
Cu 0.000 0.000 0.751
Cu 0.333 0.667 0.417
Cu 0.667 0.333 0.084
Se 0.000 0.000 0.582
Se 0.333 0.667 0.248
Se 0.667 0.333 0.915

***

[2]
! Ac3CuSe6 PBE-GGA relaxed; values from VASP
! **ρ**: 6.2 Mg/m³
! **V**: 655 Å³ per cell
! **Energy relative to the elements, uncorrected**: -1476 meV per atom
! **Total energy**: -5.209 eV/atom
&SYSTEM
  ibrav = 0, nat = 20, ntyp = 3
/
ATOMIC_SPECIES
Ac 227.00 Ac.upf
Cu 63.55 Cu.upf
Se 78.96 Se.upf
CELL_PARAMETERS angstrom
6.108 -7.174 0.000
6.108 7.174 0.000
0.000 0.000 7.472
ATOMIC_POSITIONS crystal
Ac 0.097 0.903 0.500
Ac 0.204 0.408 0.612
Ac 0.408 0.204 0.112
Ac 0.592 0.796 0.612
Ac 0.796 0.592 0.112
Ac 0.903 0.097 0.000
Cu 0.299 0.701 0.202
Cu 0.701 0.299 0.702
Se 0.075 0.597 0.335
Se 0.120 0.195 0.305
Se 0.195 0.120 0.805
Se 0.348 0.652 0.887
Se 0.403 0.925 0.335
Se 0.480 0.520 0.325
Se 0.520 0.480 0.825
Se 0.597 0.075 0.835
Se 0.652 0.348 0.387
Se 0.805 0.880 0.305
Se 0.880 0.805 0.805
Se 0.925 0.403 0.835

***

[3]
! AcCuSe2 PBE-GGA relaxed; values from VASP
! **ρ**: 7.1 Mg/m³
! **V**: 419 Å³ per cell
! **Polymorph energy (0 for the lowest one)**: 0 meV/atom
! **Energy relative to the elements, uncorrected**: -1291 meV per atom
! **Total energy**: -5.084 eV/atom
&SYSTEM
  ibrav = 0, nat = 16, ntyp = 3
/
ATOMIC_SPECIES
Ac 227.00 Ac.upf
Cu 63.55 Cu.upf
Se 78.96 Se.upf
CELL_PARAMETERS angstrom
6.930 0.000 0.000
0.000 4.162 0.000
0.000 0.000 14.539
ATOMIC_POSITIONS crystal
Ac 0.028 0.250 0.151
Ac 0.472 0.750 0.651
Ac 0.528 0.250 0.349
Ac 0.972 0.750 0.849
Cu 0.108 0.750 0.456
Cu 0.392 0.250 0.956
Cu 0.608 0.750 0.044
Cu 0.892 0.250 0.544
Se 0.212 0.750 0.294
Se 0.246 0.750 0.025
Se 0.254 0.250 0.525
Se 0.288 0.250 0.794
Se 0.712 0.750 0.206
Se 0.746 0.750 0.475
Se 0.754 0.250 0.975
Se 0.788 0.250 0.706

***

[4]
! Ac5CuSe8 PBE-GGA relaxed; values from VASP
! **ρ**: 7.5 Mg/m³
! **V**: 405 Å³ per cell
! **Energy relative to the elements, uncorrected**: -1747 meV per atom
! **Total energy**: -5.498 eV/atom
&SYSTEM
  ibrav = 0, nat = 14, ntyp = 3
/
ATOMIC_SPECIES
Ac 227.00 Ac.upf
Cu 63.55 Cu.upf
Se 78.96 Se.upf
CELL_PARAMETERS angstrom
-4.611 4.611 4.756
4.611 -4.611 4.756
4.611 4.611 -4.756
ATOMIC_POSITIONS crystal
Ac 0.000 0.000 0.000
Ac 0.253 0.633 0.119
Ac 0.367 0.486 0.620
Ac 0.514 0.133 0.881
Ac 0.867 0.747 0.380
Cu 0.750 0.250 0.500
Se 0.095 0.227 0.741
Se 0.147 0.748 0.761
Se 0.252 0.013 0.399
Se 0.486 0.355 0.259
Se 0.614 0.853 0.601
Se 0.645 0.905 0.132
Se 0.773 0.514 0.868
Se 0.987 0.386 0.239

***

[5]
! AcCuSe PBE-GGA relaxed; values from VASP
! **ρ**: 7.8 Mg/m³
! **N(E_F)**: 0.15 states/eV/cell
! **V**: 158 Å³ per cell
! **Polymorph energy (0 for the lowest one)**: 0 meV/atom
! **Energy relative to the elements, uncorrected**: -941 meV per atom
! **Total energy**: -4.838 eV/atom
&SYSTEM
  ibrav = 0, nat = 6, ntyp = 3
/
ATOMIC_SPECIES
Ac 227.00 Ac.upf
Cu 63.55 Cu.upf
Se 78.96 Se.upf
CELL_PARAMETERS angstrom
4.475 0.000 0.000
-1.831 5.569 0.000
-0.120 -1.345 6.327
ATOMIC_POSITIONS crystal
Ac 0.000 0.000 0.000
Ac 0.320 0.671 0.454
Cu 0.517 0.214 0.708
Cu 0.943 0.058 0.544
Se 0.324 0.571 0.928
Se 0.641 0.260 0.319

***

[6]
! Ac2CuSe PBE-GGA relaxed; values from VASP
! **ρ**: 7.7 Mg/m³
! **N(E_F)**: 14.63 states/eV/cell
! **V**: 384 Å³ per cell
! **Polymorph energy (0 for the lowest one)**: 52 meV/atom
! **Energy relative to the elements, uncorrected**: -907 meV per atom
! **Total energy**: -4.857 eV/atom
&SYSTEM
  ibrav = 0, nat = 12, ntyp = 3
/
ATOMIC_SPECIES
Ac 227.00 Ac.upf
Cu 63.55 Cu.upf
Se 78.96 Se.upf
CELL_PARAMETERS angstrom
4.376 0.000 0.000
-2.188 3.790 0.000
0.000 0.000 23.134
ATOMIC_POSITIONS crystal
Ac 0.000 0.000 0.247
Ac 0.000 0.000 0.753
Ac 0.333 0.667 0.420
Ac 0.333 0.667 0.914
Ac 0.667 0.333 0.086
Ac 0.667 0.333 0.580
Cu 0.000 0.000 0.500
Cu 0.333 0.667 0.167
Cu 0.667 0.333 0.833
Se 0.000 0.000 0.000
Se 0.333 0.667 0.667
Se 0.667 0.333 0.333

***

[7]
! AcCuSe2 PBE-GGA relaxed; values from VASP
! **ρ**: 5.0 Mg/m³
! **N(E_F)**: 0.00 states/eV/cell
! **V**: 443 Å³ per cell
! **Polymorph energy (0 for the lowest one)**: 100 meV/atom
! **Energy relative to the elements, uncorrected**: -1190 meV per atom
! **Total energy**: -4.984 eV/atom
&SYSTEM
  ibrav = 0, nat = 12, ntyp = 3
/
ATOMIC_SPECIES
Ac 227.00 Ac.upf
Cu 63.55 Cu.upf
Se 78.96 Se.upf
CELL_PARAMETERS angstrom
4.782 0.000 0.000
-2.391 4.142 0.000
0.000 0.000 22.363
ATOMIC_POSITIONS crystal
Ac 0.000 0.000 0.000
Ac 0.333 0.667 0.667
Ac 0.667 0.333 0.333
Cu 0.000 0.000 0.500
Cu 0.333 0.667 0.167
Cu 0.667 0.333 0.833
Se 0.000 0.000 0.399
Se 0.000 0.000 0.601
Se 0.333 0.667 0.066
Se 0.333 0.667 0.268
Se 0.667 0.333 0.732
Se 0.667 0.333 0.934

***

[8]
! Ac2CuSe PBE-GGA relaxed; values from VASP
! **ρ**: 8.1 Mg/m³
! **N(E_F)**: 15.22 states/eV/cell
! **V**: 492 Å³ per cell
! **Polymorph energy (0 for the lowest one)**: 0 meV/atom
! **Energy relative to the elements, uncorrected**: -959 meV per atom
! **Total energy**: -4.908 eV/atom
&SYSTEM
  ibrav = 0, nat = 16, ntyp = 3
/
ATOMIC_SPECIES
Ac 227.00 Ac.upf
Cu 63.55 Cu.upf
Se 78.96 Se.upf
CELL_PARAMETERS angstrom
4.360 0.000 0.000
0.000 25.271 0.000
0.000 0.000 4.465
ATOMIC_POSITIONS crystal
Ac 0.000 0.066 0.250
Ac 0.000 0.318 0.250
Ac 0.000 0.682 0.750
Ac 0.000 0.934 0.750
Ac 0.500 0.182 0.750
Ac 0.500 0.434 0.750
Ac 0.500 0.566 0.250
Ac 0.500 0.818 0.250
Cu 0.000 0.470 0.250
Cu 0.000 0.530 0.750
Cu 0.500 0.030 0.750
Cu 0.500 0.970 0.250
Se 0.000 0.193 0.250
Se 0.000 0.807 0.750
Se 0.500 0.307 0.750
Se 0.500 0.693 0.250

***

Q: Number 8 is which compound?
A: Ac2CuSe

***

Q: What is the formula in the eighth record?
A: Ac2CuSe

***

Q: What is the formula in the eighth record?
A: Ac2CuSe